Ga2TcSnHg | Alexandria via LeMat-Bulk | PBE-GGA | relaxed; SG = No. 123; raw total energy = -4.0677 eV per atom
1.0
-4.0326 -2.0434 1.9223
2.7218 -2.0337 3.5481
-0.7163 4.1898 2.9510
Tc Hg Ga Sn
1 1 2 1
Direct
0.0000 0.0000 0.0000
0.5000 0.5000 0.5000
0.0000 0.5000 0.0000
0.5000 0.0000 0.0000
0.0000 0.0000 0.5000

=====

Ni2SnB | Alexandria via LeMat-Bulk | PBE-GGA | relaxed; SG = No. 225; relative energy among the computed polymorphs = 223 meV per atom; raw total energy = -5.0844 eV per atom
1.0
0.0000 2.9093 2.9093
2.9093 0.0000 2.9093
2.9093 2.9093 0.0000
Ni B Sn
2 1 1
Direct
0.2500 0.2500 0.2500
0.7500 0.7500 0.7500
0.0000 0.0000 0.0000
0.5000 0.5000 0.5000

=====

Sr3Sb2F | Alexandria via LeMat-Bulk | PBE-GGA | relaxed; SG = No. 62; relative energy among the computed polymorphs = 0 meV per atom; raw total energy = -4.2262 eV per atom; E_form (uncorrected) = -1.70 eV/atom
1.0
4.2718 0.0000 0.0000
0.0000 9.6882 0.0000
0.0000 0.0000 18.7575
Sr Sb F
12 8 4
Direct
0.2500 0.3121 0.7727
0.7500 0.6879 0.2273
0.7500 0.1879 0.2727
0.2500 0.8121 0.7273
0.7500 0.9823 0.8952
0.2500 0.0177 0.1048
0.2500 0.5177 0.3952
0.7500 0.4823 0.6048
0.2500 0.1200 0.5809
0.7500 0.8800 0.4191
0.7500 0.3800 0.0809
0.2500 0.6200 0.9191
0.2500 0.2497 0.9557
0.7500 0.7503 0.0443
0.7500 0.2503 0.4557
0.2500 0.7497 0.5443
0.7500 0.0737 0.7187
0.2500 0.9263 0.2813
0.2500 0.4263 0.2187
0.7500 0.5737 0.7813
0.2500 0.3619 0.6341
0.7500 0.6381 0.3659
0.7500 0.1381 0.1341
0.2500 0.8619 0.8659

=====

Cs3Ge5Cl12 | Alexandria via LeMat-Bulk | PBE-GGA | relaxed; SG = No. 230; raw total energy = -3.4215 eV per atom; E_form (uncorrected) = -1.03 eV/atom
1.0
-0.4778 14.5987 4.8725
-13.1939 -3.4610 -7.1439
1.9185 -9.3765 12.0620
Cs Ge Cl
12 20 48
Direct
0.7500 0.3750 0.1250
0.8750 0.7500 0.1250
0.3750 0.7500 0.6250
0.2500 0.1250 0.3750
0.8750 0.1250 0.2500
0.3750 0.6250 0.2500
0.6250 0.3750 0.7500
0.1250 0.8750 0.7500
0.7500 0.8750 0.6250
0.6250 0.2500 0.3750
0.1250 0.2500 0.8750
0.2500 0.6250 0.8750
0.1250 0.3750 0.2500
0.0000 0.5000 0.0000
0.0000 0.0000 0.0000
0.3750 0.2500 0.1250
0.5000 0.0000 0.5000
0.5000 0.5000 0.0000
0.1250 0.7500 0.3750
0.7500 0.1250 0.8750
0.7500 0.6250 0.3750
0.3750 0.1250 0.7500
0.6250 0.8750 0.2500
0.5000 0.5000 0.5000
0.5000 0.0000 0.0000
0.0000 0.0000 0.5000
0.2500 0.3750 0.6250
0.2500 0.8750 0.1250
0.0000 0.5000 0.5000
0.8750 0.2500 0.6250
0.6250 0.7500 0.8750
0.8750 0.6250 0.7500
0.6875 0.1071 0.0081
0.3206 0.5081 0.4010
0.9919 0.3929 0.3125
0.5081 0.1875 0.1071
0.5804 0.6875 0.6794
0.9919 0.5990 0.1794
0.3206 0.8125 0.4196
0.0990 0.9196 0.1071
0.5990 0.9919 0.6794
0.6875 0.5804 0.1794
0.8125 0.4919 0.3929
0.8206 0.9010 0.0081
0.1071 0.6875 0.5081
0.3929 0.4010 0.0804
0.0804 0.9010 0.3929
0.4196 0.1071 0.5990
0.0804 0.1794 0.1875
0.4919 0.6794 0.0990
0.8206 0.9196 0.3125
0.1071 0.4196 0.0990
0.3929 0.9919 0.8125
0.5990 0.6071 0.4196
0.9010 0.8206 0.5081
0.8125 0.3206 0.9196
0.4010 0.3929 0.5804
0.0990 0.1794 0.4919
0.1875 0.6794 0.0804
0.1794 0.0804 0.6875
0.6071 0.0081 0.1875
0.8929 0.5804 0.9010
0.5081 0.3206 0.9010
0.5804 0.8929 0.4010
0.9196 0.8206 0.8125
0.9196 0.0990 0.6071
0.8929 0.3125 0.4919
0.1794 0.0990 0.9919
0.6071 0.5990 0.9196
0.4010 0.0081 0.3206
0.3125 0.4196 0.8206
0.1875 0.5081 0.6071
0.9010 0.0804 0.8929
0.6794 0.1875 0.5804
0.4919 0.8125 0.8929
0.0081 0.4010 0.8206
0.4196 0.3125 0.3206
0.0081 0.6071 0.6875
0.6794 0.4919 0.5990
0.3125 0.8929 0.9919